*a*
The following is a DFT calculation (PBE with a Hubbard U) of a relaxed structure of LaCrO2.

## Properties
**N(E_F)**: 3.1 states/eV/cell
**Crystal system**: cubic
**Magnetization**: 1.00 μB per cell
**Symmetry**: Fm-3m, No. 225
**Density**: 7.274 g/cm3

```
data_LaCrO2
_symmetry_space_group_name_H-M 'P 1'
_symmetry_Int_Tables_number 1
_symmetry_space_group_name_Hall 'P 1'
_cell_length_a 4.159
_cell_length_b 4.159
_cell_length_c 4.159
_cell_angle_alpha 60.00
_cell_angle_beta 60.00
_cell_angle_gamma 60.00
loop_
_atom_site_label
_atom_site_fract_x
_atom_site_fract_y
_atom_site_fract_z
La1 0.000 0.000 0.000
Cr1 0.500 0.500 0.500
O1 0.250 0.250 0.250
O2 0.750 0.750 0.750
```

***

*b*
The following is a DFT calculation (PBE with a Hubbard U) of a relaxed structure of LaCrO2.

## Properties
**N(E_F)**: 0.7 states/eV/cell
**Crystal system**: trigonal
**Magnetization**: 4.44 μB per cell
**Symmetry**: R-3m, No. 166
**Density**: 4.944 g/cm3

```
data_LaCrO2
_symmetry_space_group_name_H-M 'P 1'
_symmetry_Int_Tables_number 1
_symmetry_space_group_name_Hall 'P 1'
_cell_length_a 6.492
_cell_length_b 6.492
_cell_length_c 6.492
_cell_angle_alpha 33.65
_cell_angle_beta 33.65
_cell_angle_gamma 33.65
loop_
_atom_site_label
_atom_site_fract_x
_atom_site_fract_y
_atom_site_fract_z
La1 0.000 0.000 0.000
Cr1 0.500 0.500 0.500
O1 0.392 0.392 0.392
O2 0.608 0.608 0.608
```

***

*c*
The following is a DFT calculation (PBE with a Hubbard U) of a relaxed structure of LaCrO2.

## Properties
**N(E_F)**: 2.8 states/eV/cell
**Crystal system**: trigonal
**Magnetization**: 3.25 μB per cell
**Symmetry**: R-3m, No. 166
**Density**: 5.911 g/cm3

```
data_LaCrO2
_symmetry_space_group_name_H-M 'P 1'
_symmetry_Int_Tables_number 1
_symmetry_space_group_name_Hall 'P 1'
_cell_length_a 6.862
_cell_length_b 6.862
_cell_length_c 6.862
_cell_angle_alpha 27.93
_cell_angle_beta 27.93
_cell_angle_gamma 27.93
loop_
_atom_site_label
_atom_site_fract_x
_atom_site_fract_y
_atom_site_fract_z
La1 0.000 0.000 0.000
Cr1 0.500 0.500 0.500
O1 0.118 0.118 0.118
O2 0.882 0.882 0.882
```

***

Which of them is least stable? Easy: *a*.

***

*a*
The following is a DFT calculation (PBE with a Hubbard U) of a relaxed structure of La2CrO6.

## Properties
**N(E_F)**: 0.0 states/eV/cell
**Crystal system**: monoclinic
**Magnetization**: 0.00 μB per cell
**Symmetry**: C2/c, No. 15
**Density**: 5.408 g/cm3

```
data_La2CrO6
_symmetry_space_group_name_H-M 'P 1'
_symmetry_Int_Tables_number 1
_symmetry_space_group_name_Hall 'P 1'
_cell_length_a 7.599
_cell_length_b 7.599
_cell_length_c 8.504
_cell_angle_alpha 106.58
_cell_angle_beta 106.58
_cell_angle_gamma 33.91
loop_
_atom_site_label
_atom_site_fract_x
_atom_site_fract_y
_atom_site_fract_z
La1 0.164 0.177 0.085
La2 0.177 0.164 0.585
La3 0.823 0.836 0.415
La4 0.836 0.823 0.915
Cr1 0.458 0.542 0.750
Cr2 0.542 0.458 0.250
O1 0.233 0.569 0.201
O2 0.233 0.765 0.592
O3 0.234 0.278 0.378
O4 0.235 0.767 0.908
O5 0.278 0.234 0.878
O6 0.431 0.767 0.299
O7 0.569 0.233 0.701
O8 0.722 0.766 0.122
O9 0.765 0.233 0.092
O10 0.766 0.722 0.622
O11 0.767 0.235 0.408
O12 0.767 0.431 0.799
```

***

*b*
The following is a DFT calculation (PBE with a Hubbard U) of a relaxed structure of La2CrO6.

## Properties
**Crystal system**: trigonal
**Magnetization**: 0.00 μB per cell
**Symmetry**: R-3, No. 148
**Density**: 5.913 g/cm3

```
data_La2CrO6
_symmetry_space_group_name_H-M 'P 1'
_symmetry_Int_Tables_number 1
_symmetry_space_group_name_Hall 'P 1'
_cell_length_a 5.354
_cell_length_b 5.354
_cell_length_c 5.354
_cell_angle_alpha 64.65
_cell_angle_beta 64.65
_cell_angle_gamma 64.65
loop_
_atom_site_label
_atom_site_fract_x
_atom_site_fract_y
_atom_site_fract_z
La1 0.245 0.245 0.245
La2 0.755 0.755 0.755
Cr1 0.500 0.500 0.500
O1 0.186 0.707 0.359
O2 0.293 0.641 0.814
O3 0.359 0.186 0.707
O4 0.641 0.814 0.293
O5 0.707 0.359 0.186
O6 0.814 0.293 0.641
```

***

Which of them is least stable? Easy: *b*.

***

*a*
The following is a DFT calculation (PBE with a Hubbard U) of a relaxed structure of LaCrP2O.

## Properties
**N(E_F)**: 3.7 states/eV/cell
**Crystal system**: tetragonal
**Magnetization**: 2.38 μB per cell
**Symmetry**: P4/mmm, No. 123
**Density**: 3.236 g/cm3

```
data_LaCrP2O
_symmetry_space_group_name_H-M 'P 1'
_symmetry_Int_Tables_number 1
_symmetry_space_group_name_Hall 'P 1'
_cell_length_a 5.699
_cell_length_b 5.699
_cell_length_c 4.248
_cell_angle_alpha 90.00
_cell_angle_beta 90.00
_cell_angle_gamma 90.00
loop_
_atom_site_label
_atom_site_fract_x
_atom_site_fract_y
_atom_site_fract_z
La1 0.000 0.000 0.000
Cr1 0.500 0.500 0.500
P1 0.000 0.500 0.000
P2 0.500 0.000 0.000
O1 0.000 0.000 0.500
```

***

*b*
The following is a DFT calculation (PBE with a Hubbard U) of a relaxed structure of LaCrP2O.

## Properties
**N(E_F)**: 3.1 states/eV/cell
**Crystal system**: tetragonal
**Magnetization**: 1.65 μB per cell
**Symmetry**: P4/mmm, No. 123
**Density**: 4.897 g/cm3

```
data_LaCrP2O
_symmetry_space_group_name_H-M 'P 1'
_symmetry_Int_Tables_number 1
_symmetry_space_group_name_Hall 'P 1'
_cell_length_a 4.921
_cell_length_b 4.921
_cell_length_c 3.766
_cell_angle_alpha 90.00
_cell_angle_beta 90.00
_cell_angle_gamma 90.00
loop_
_atom_site_label
_atom_site_fract_x
_atom_site_fract_y
_atom_site_fract_z
La1 0.000 0.000 0.000
Cr1 0.500 0.500 0.500
P1 0.000 0.500 0.500
P2 0.500 0.000 0.500
O1 0.500 0.500 0.000
```

***

Which of them is least stable? Easy: *a*.

***

*a*
The following is a DFT calculation (PBE with a Hubbard U) of a relaxed structure of LaCrSe2O.

## Properties
**N(E_F)**: 0.0 states/eV/cell
**Crystal system**: orthorhombic
**Magnetization**: 12.00 μB per cell
**Symmetry**: Pnma, No. 62
**Density**: 6.030 g/cm3

```
data_LaCrSe2O
_symmetry_space_group_name_H-M 'P 1'
_symmetry_Int_Tables_number 1
_symmetry_space_group_name_Hall 'P 1'
_cell_length_a 8.794
_cell_length_b 3.900
_cell_length_c 11.716
_cell_angle_alpha 90.00
_cell_angle_beta 90.00
_cell_angle_gamma 90.00
loop_
_atom_site_label
_atom_site_fract_x
_atom_site_fract_y
_atom_site_fract_z
La1 0.047 0.250 0.138
La2 0.453 0.750 0.638
La3 0.547 0.250 0.362
La4 0.953 0.750 0.862
Cr1 0.176 0.250 0.474
Cr2 0.324 0.750 0.974
Cr3 0.676 0.250 0.026
Cr4 0.824 0.750 0.526
Se1 0.095 0.750 0.607
Se2 0.248 0.750 0.330
Se3 0.252 0.250 0.830
Se4 0.405 0.250 0.107
Se5 0.595 0.750 0.893
Se6 0.748 0.750 0.170
Se7 0.752 0.250 0.670
Se8 0.905 0.250 0.393
O1 0.109 0.750 0.036
O2 0.391 0.250 0.536
O3 0.609 0.750 0.464
O4 0.891 0.250 0.964
```

***

*b*
The following is a DFT calculation (PBE with a Hubbard U) of a relaxed structure of LaCrSe2O.

## Properties
**N(E_F)**: 3.0 states/eV/cell
**Crystal system**: orthorhombic
**Magnetization**: 6.01 μB per cell
**Symmetry**: Cmcm, No. 63
**Density**: 5.849 g/cm3

```
data_LaCrSe2O
_symmetry_space_group_name_H-M 'P 1'
_symmetry_Int_Tables_number 1
_symmetry_space_group_name_Hall 'P 1'
_cell_length_a 6.238
_cell_length_b 6.238
_cell_length_c 9.049
_cell_angle_alpha 90.00
_cell_angle_beta 90.00
_cell_angle_gamma 143.96
loop_
_atom_site_label
_atom_site_fract_x
_atom_site_fract_y
_atom_site_fract_z
La1 0.191 0.809 0.750
La2 0.809 0.191 0.250
Cr1 0.500 0.500 0.000
Cr2 0.500 0.500 0.500
Se1 0.133 0.867 0.070
Se2 0.133 0.867 0.430
Se3 0.867 0.133 0.570
Se4 0.867 0.133 0.930
O1 0.419 0.581 0.250
O2 0.581 0.419 0.750
```

***

Which of them is least stable? Easy: *b*.

***

*a*
The following is a DFT calculation (PBE with a Hubbard U) of a relaxed structure of LaTiCrO6.

## Properties
**N(E_F)**: 0.3 states/eV/cell
**Crystal system**: monoclinic
**Magnetization**: 1.94 μB per cell
**Symmetry**: Pc, No. 7
**Density**: 4.943 g/cm3

```
data_LaTiCrO6
_symmetry_space_group_name_H-M 'P 1'
_symmetry_Int_Tables_number 1
_symmetry_space_group_name_Hall 'P 1'
_cell_length_a 5.375
_cell_length_b 5.427
_cell_length_c 9.400
_cell_angle_alpha 90.00
_cell_angle_beta 124.88
_cell_angle_gamma 90.00
loop_
_atom_site_label
_atom_site_fract_x
_atom_site_fract_y
_atom_site_fract_z
La1 0.000 0.222 0.000
La2 0.000 0.778 0.500
Ti1 0.737 0.263 0.247
Ti2 0.737 0.737 0.747
Cr1 0.242 0.259 0.744
Cr2 0.242 0.741 0.244
O1 0.023 0.473 0.229
O2 0.023 0.527 0.729
O3 0.059 0.250 0.508
O4 0.059 0.750 0.008
O5 0.465 0.259 0.005
O6 0.465 0.741 0.505
O7 0.523 0.020 0.276
O8 0.523 0.980 0.776
O9 0.557 0.460 0.779
O10 0.557 0.540 0.279
O11 0.996 0.031 0.736
O12 0.996 0.969 0.236
```

***

*b*
The following is a DFT calculation (PBE with a Hubbard U) of a relaxed structure of LaTiCrO6.

## Properties
**Crystal system**: tetragonal
**Magnetization**: 1.98 μB per cell
**Symmetry**: P4_2nm, No. 102
**Density**: 4.861 g/cm3

```
data_LaTiCrO6
_symmetry_space_group_name_H-M 'P 1'
_symmetry_Int_Tables_number 1
_symmetry_space_group_name_Hall 'P 1'
_cell_length_a 4.873
_cell_length_b 4.873
_cell_length_c 9.630
_cell_angle_alpha 90.00
_cell_angle_beta 90.00
_cell_angle_gamma 90.00
loop_
_atom_site_label
_atom_site_fract_x
_atom_site_fract_y
_atom_site_fract_z
La1 0.000 0.000 0.000
La2 0.500 0.500 0.500
Ti1 0.000 0.000 0.354
Ti2 0.500 0.500 0.854
Cr1 0.000 0.000 0.669
Cr2 0.500 0.500 0.169
O1 0.170 0.170 0.516
O2 0.231 0.231 0.816
O3 0.246 0.246 0.206
O4 0.254 0.746 0.706
O5 0.269 0.731 0.316
O6 0.330 0.670 0.016
O7 0.670 0.330 0.016
O8 0.731 0.269 0.316
O9 0.746 0.254 0.706
O10 0.754 0.754 0.206
O11 0.769 0.769 0.816
O12 0.830 0.830 0.516
```

***

Which of them is least stable? Easy: *b*.